The following is a PBE-GGA calculation of a geometry-optimized KRbCuAs structure, from OQMD via LeMat-Bulk.

E_tot in eV/atom: -2.936
Offset from the most stable computed form in eV per formula unit: 0.013

Cell and atoms, written as CIF:
```
data_KRbCuAs
_symmetry_space_group_name_H-M 'A m m 2'
_symmetry_Int_Tables_number 38
_symmetry_space_group_name_Hall 'A 2 -2'
_cell_length_a 6.0844
_cell_length_b 10.3922
_cell_length_c 7.6249
_cell_angle_alpha 90.00
_cell_angle_beta 90.00
_cell_angle_gamma 90.00
loop_
_atom_site_label
_atom_site_type_symbol
_atom_site_fract_x
_atom_site_fract_y
_atom_site_fract_z
K1 K 0.0000 0.1674 0.0000
Rb1 Rb 0.5000 0.1693 0.3068
Cu1 Cu 0.2482 0.0000 0.6592
As1 As 0.0000 0.0000 0.4222
As2 As 0.5000 0.0000 0.8941
```